[1]
The following is a DFT calculation (GGA-PBE) of a relaxed ZrScIO2 crystal.

## Properties
ΔE_f (raw): -1161 meV/atom
Total DFT energy (no corrections): -6.430 eV per atom

Unit cell a=4.129 b=4.129 c=5.590 alpha=90.00 beta=90.00 gamma=90.00
Positions (direct):
I 0.000 0.000 0.500
Zr 0.500 0.500 0.500
O 0.000 0.500 0.000
Sc 0.000 0.000 0.000
O 0.500 0.000 0.000

=====

[2]
The following is a DFT calculation (GGA-PBE) of a relaxed AgSbTe2N crystal.

## Properties
ΔE_f (raw): 1827 meV/atom
Total DFT energy (no corrections): -2.489 eV per atom

Unit cell a=5.360 b=5.360 c=5.326 alpha=90.00 beta=90.00 gamma=90.00
Positions (direct):
N 0.500 0.500 0.500
Ag 0.000 0.000 0.000
Sb 0.000 0.000 0.500
Te 0.500 0.000 0.000
Te 0.000 0.500 0.000